Entry 1:
## Ta2Mo (PBE-GGA)

Data for an optimized crystal structure of Ta2Mo.

Summary:
* formation enthalpy at 0 K: -44 meV per atom
* spin magnetization: 0.00 μB per cell

Cell lengths 3.2697, 4.6574, 13.7023 Å; angles 90.00, 90.00, 90.00 degrees
Last column: nearest neighbours and their distance in Å.
Space group Cmme (No. 67)
Inequivalent atoms, fractional coordinates:
Ta 0.0000 0.2500 0.0865 x4  8 Ta 2.85-2.88
Ta 0.0000 0.2500 0.7404 x4  2 Mo 2.76, 6 Ta 2.85-2.88
Mo 0.0000 0.2500 0.4222 x4  6 Mo 2.69-2.85, 2 Ta 2.76

Entry 2:
## TaMo8 (PBE-GGA)

Data for an optimized crystal structure of TaMo8.

Summary:
* formation enthalpy at 0 K: 253 meV per atom
* spin magnetization: 0.00 μB per cell

Cell lengths 7.9426, 7.9426, 4.6921 Å; angles 90.00, 90.00, 90.00 degrees
Last column: nearest neighbours and their distance in Å.
Space group I4/mmm (No. 139)
Inequivalent atoms, fractional coordinates:
Ta 0.0000 0.0000 0.0000 x2  4 Mo 2.68
Mo 0.0000 0.3379 0.0000 x8  3 Mo 2.58-2.64, 1 Ta 2.68
Mo 0.1679 0.1679 0.5000 x8  4 Mo 2.64-2.67

Entry 3:
## Ta2Mo5 (PBE-GGA)

Data for an optimized crystal structure of Ta2Mo5.

Summary:
* formation enthalpy at 0 K: -140 meV per atom
* spin magnetization: 0.00 μB per cell

Cell lengths 4.5122, 4.5122, 19.5631 Å; angles 90.00, 90.00, 120.00 degrees
Last column: nearest neighbours and their distance in Å.
Space group R-3m (No. 166, hexagonal axes)
Inequivalent atoms, fractional coordinates:
Ta 0.0000 0.0000 0.0732 x6  7 Mo 2.75-2.79, 1 Ta 2.86
Mo 0.0000 0.0000 0.2144 x6  4 Ta 2.75-2.76, 4 Mo 2.76-2.77
Mo 0.0000 0.0000 0.3552 x6  5 Mo 2.74-2.83, 3 Ta 2.79
Mo 0.0000 0.0000 0.5000 x3  8 Mo 2.77-2.83

Entry 4:
## Ta3Mo4 (PBE-GGA)

Data for an optimized crystal structure of Ta3Mo4.

Summary:
* formation enthalpy at 0 K: -153 meV per atom
* spin magnetization: 0.00 μB per cell

Cell lengths 3.2123, 3.2123, 22.7174 Å; angles 90.00, 90.00, 90.00 degrees
Last column: nearest neighbours and their distance in Å.
Space group I4mm (No. 107)
Inequivalent atoms, fractional coordinates:
Ta 0.0000 0.0000 0.0000 x2  8 Mo 2.79-2.81
Ta 0.0000 0.0000 0.1418 x2  4 Mo 2.78, 4 Ta 2.87
Ta 0.0000 0.0000 0.7193 x2  4 Mo 2.78, 4 Ta 2.87
Mo 0.0000 0.0000 0.2901 x2  4 Mo 2.76, 4 Ta 2.78
Mo 0.0000 0.0000 0.4274 x2  4 Mo 2.75, 4 Ta 2.81
Mo 0.0000 0.0000 0.5714 x2  8 Ta 2.78-2.79
Mo 0.0000 0.0000 0.8593 x2  8 Mo 2.75-2.76

Entry 5:
## Ta3Mo5 (PBE-GGA)

Data for an optimized crystal structure of Ta3Mo5.

Summary:
* formation enthalpy at 0 K: -175 meV per atom
* spin magnetization: 0.00 μB per cell

Cell lengths 5.5599, 9.1113, 5.5528 Å; angles 90.00, 109.35, 90.00 degrees
Last column: nearest neighbours and their distance in Å.
Space group C2 (No. 5)
Inequivalent atoms, fractional coordinates:
Ta 0.0000 0.0000 0.0000 x2  6 Mo 2.77-2.78, 2 Ta 2.85
Ta 0.2478 0.7578 0.7490 x4  7 Mo 2.77-2.82, 1 Ta 2.85
Mo 0.0000 0.0095 0.5000 x2  4 Mo 2.74-2.78, 4 Ta 2.78-2.79
Mo 0.0000 0.5021 0.5000 x2  6 Mo 2.77-2.78, 2 Ta 2.82
Mo 0.0000 0.5092 0.0000 x2  4 Mo 2.75-2.78, 4 Ta 2.78-2.80
Mo 0.2481 0.2533 0.7490 x4  3 Mo 2.74-2.77, 5 Ta 2.77-2.78

Entry 6:
## Ta2Mo5 (PBE-GGA)

Data for an optimized crystal structure of Ta2Mo5.

Summary:
* formation enthalpy at 0 K: -157 meV per atom
* spin magnetization: 0.00 μB per cell

Cell lengths 10.1306, 3.2044, 7.1504 Å; angles 90.00, 98.06, 90.00 degrees
Last column: nearest neighbours and their distance in Å.
Space group C2/m (No. 12)
Inequivalent atoms, fractional coordinates:
Ta 0.0710 0.0000 0.2144 x4  8 Mo 2.77-2.80
Mo 0.0000 0.5000 0.5000 x2  4 Mo 2.75, 4 Ta 2.77
Mo 0.1464 0.5000 0.9269 x4  4 Mo 2.73-2.75, 4 Ta 2.80
Mo 0.2117 0.0000 0.6411 x4  6 Mo 2.75-2.77, 2 Ta 2.80